Record 1
VASP calculation (PBE) on a geometry-optimized CdHgSN2 structure.

Summary:
Uncorrected energy: -13.47 eV/cell
Energy relative to the lowest polymorph listed for this composition: 50 meV per atom
Uncorrected formation energy: 1.704 eV/atom
Magnetization: 3.31 Bohr magnetons per cell
D(E_F): 2.5 states/eV/cell

Unit cell a=4.187 b=4.187 c=5.881 alpha=90.00 beta=90.00 gamma=90.00
Space group P4/mmm (No. 123)
Unique sites:
Cd 0.000 0.000 0.000
Hg 0.500 0.500 0.500
S 0.500 0.500 0.000
N 0.000 0.500 0.500

---

Record 2
VASP calculation (PBE) on a geometry-optimized CdHgS2N structure.

Summary:
Uncorrected energy: -12.08 eV/cell
Uncorrected formation energy: 1.143 eV/atom
Magnetization: 2.12 Bohr magnetons per cell
D(E_F): 2.7 states/eV/cell

Unit cell a=5.174 b=5.174 c=4.147 alpha=90.00 beta=90.00 gamma=90.00
Space group P4/mmm (No. 123)
Unique sites:
Cd 0.000 0.000 0.000
Hg 0.500 0.500 0.500
S 0.000 0.500 0.500
N 0.500 0.500 0.000

---

Record 3
VASP calculation (PBE) on a geometry-optimized Cd2SnHgN structure.

Summary:
Uncorrected energy: -7.27 eV/cell
Uncorrected formation energy: 1.439 eV/atom
Magnetization: 0.08 Bohr magnetons per cell
D(E_F): 3.9 states/eV/cell

Unit cell a=5.311 b=5.311 c=5.723 alpha=90.00 beta=90.00 gamma=90.00
Space group P4/mmm (No. 123)
Unique sites:
Cd 0.000 0.500 0.000
Sn 0.000 0.000 0.500
Hg 0.000 0.000 0.000
N 0.500 0.500 0.500

---

Record 4
VASP calculation (PBE) on a geometry-optimized Sr6Cd2HgN structure.

Summary:
Uncorrected energy: -48.25 eV/cell
Uncorrected formation energy: -0.358 eV/atom
Magnetization: 0.00 Bohr magnetons per cell
D(E_F): 12.3 states/eV/cell

Unit cell a=7.609 b=8.507 c=12.940 alpha=90.00 beta=121.27 gamma=90.00
Space group P2_1/c (No. 14)
Unique sites:
Sr 0.103 0.031 0.225
Sr 0.196 0.721 0.053
Sr 0.342 0.158 0.048
Cd 0.299 0.097 0.749
Hg 0.500 0.000 0.500
N 0.000 0.000 0.000

---

Record 5
VASP calculation (PBE) on a geometry-optimized TaCdHgN2 structure.

Summary:
Uncorrected energy: -18.58 eV/cell
Uncorrected formation energy: 2.228 eV/atom
Magnetization: 0.00 Bohr magnetons per cell
D(E_F): 5.5 states/eV/cell

Unit cell a=4.168 b=4.168 c=5.191 alpha=90.00 beta=90.00 gamma=90.00
Space group P4/mmm (No. 123)
Unique sites:
Ta 0.000 0.000 0.000
Cd 0.500 0.500 0.500
Hg 0.500 0.500 0.000
N 0.000 0.500 0.500

---

Record 6
VASP calculation (PBE) on a geometry-optimized CdHgTe2N structure.

Summary:
Uncorrected energy: -10.83 eV/cell
Energy relative to the lowest polymorph listed for this composition: 437 meV per atom
Uncorrected formation energy: 1.000 eV/atom
Magnetization: 1.98 Bohr magnetons per cell
D(E_F): 6.1 states/eV/cell

Unit cell a=5.896 b=5.896 c=4.096 alpha=90.00 beta=90.00 gamma=90.00
Space group P4/mmm (No. 123)
Unique sites:
Cd 0.000 0.000 0.000
Hg 0.500 0.500 0.500
Te 0.000 0.500 0.000
N 0.000 0.000 0.500